NaCa2TmBr8 after structural relaxation, computed with PBE.

abc: 6.9009 6.6811 8.7537
angles: 90.00 90.00 90.20
Atoms (fractional coordinates):
Br: 0.8284 0.2203 0.2298
Br: 0.3282 0.2794 0.5000
Br: 0.3189 0.2680 0.0000
Br: 0.1716 0.7797 0.7702
Br: 0.8284 0.2203 0.7702
Tm: 0.0000 0.0000 0.0000
Na: 0.0000 0.0000 0.5000
Br: 0.6811 0.7320 0.0000
Br: 0.6718 0.7206 0.5000
Br: 0.1716 0.7797 0.2298
Ca: 0.5000 0.5000 0.2563
Ca: 0.5000 0.5000 0.7437

Summary:
Raw formation energy (eV/atom): -1.876

***

Nd6Te3As2Rh after structural relaxation, computed with PBE.

abc: 4.3140 8.9075 9.8395
angles: 104.38 102.66 90.00
Atoms (fractional coordinates):
Te: 0.5000 0.5000 0.0000
Nd: 0.6557 0.0958 0.3113
Te: 0.1702 0.8335 0.3404
As: 0.1662 0.3351 0.3324
Nd: 0.3443 0.9042 0.6887
As: 0.8338 0.6649 0.6676
Te: 0.8298 0.1665 0.6596
Nd: 0.0048 0.2270 0.0096
Nd: 0.6726 0.5684 0.3453
Nd: 0.3274 0.4316 0.6547
Rh: 0.5000 0.0000 0.0000
Nd: 0.9952 0.7730 0.9904

Summary:
Raw formation energy (eV/atom): -1.351

***

Cu5Sb2Pd12 after structural relaxation, computed with PBE.

abc: 7.6176 7.4783 6.2147
angles: 83.45 90.00 120.62
Atoms (fractional coordinates):
Cu: 0.3362 0.6723 0.1221
Pd: 0.5457 0.4717 0.2038
Pd: 0.4460 0.8921 0.7414
Pd: 0.8732 0.7465 0.8768
Cu: 0.6638 0.3277 0.8779
Pd: 0.9260 0.4717 0.2038
Sb: 0.7581 0.0000 0.0000
Pd: 0.8267 0.2021 0.5848
Pd: 0.6246 0.7979 0.4152
Cu: 0.7788 0.5577 0.5291
Pd: 0.5540 0.1079 0.2586
Pd: 0.0740 0.5283 0.7962
Pd: 0.3754 0.2021 0.5848
Cu: 0.2212 0.4423 0.4709
Pd: 0.1268 0.2535 0.1232
Pd: 0.1733 0.7979 0.4152
Pd: 0.4543 0.5283 0.7962
Sb: 0.2419 0.0000 0.0000
Cu: 0.0000 0.0000 0.5000

Summary:
Raw formation energy (eV/atom): -0.101

***

Y2AgSe2 after structural relaxation, computed with PBE.

abc: 8.0008 8.0008 3.7241
angles: 90.00 90.00 90.00
Atoms (fractional coordinates):
Se: 0.3555 0.1445 0.5000
Y: 0.6541 0.1541 0.0000
Se: 0.1445 0.6445 0.5000
Ag: 0.0000 0.0000 0.0000
Ag: 0.5000 0.5000 0.0000
Se: 0.6445 0.8555 0.5000
Y: 0.8459 0.6541 0.0000
Y: 0.1541 0.3459 0.0000
Y: 0.3459 0.8459 0.0000
Se: 0.8555 0.3555 0.5000

Summary:
Polymorph energy (0 for the lowest one) (meV per atom): 27
Raw formation energy (eV/atom): -1.164

***

raw formation energy of number 4 (Y2AgSe2)?
-1.164 eV/atom

***

Among the records above, which one has the highest raw formation energy?
Cu5Sb2Pd12

***

What is the raw formation energy in the third record?
-0.101 eV/atom